[1]
BaGdAuO3 after structural relaxation. Source: OQMD via LeMat-Bulk, functional PBE-GGA.

Results
electronic total energy = -6.3989 eV/atom

Cell: 8.7497 7.0710 7.0710 Å, 30.73 90.00 90.00°
Element x y z (fractional)
O 0.2308 0.3920 0.3920
O 0.2692 0.6080 0.6080
O 0.5000 0.9407 0.9407
O 0.7692 0.3920 0.3920
O 0.7308 0.6080 0.6080
O 0.0000 0.0593 0.0593
Ba 0.5000 0.3140 0.3140
Ba 0.0000 0.6860 0.6860
Gd 0.2500 0.0000 0.0000
Gd 0.7500 0.0000 0.0000
Au 0.0000 0.3877 0.3877
Au 0.5000 0.6123 0.6123

***

[2]
BaGdAuSe2S after structural relaxation. Source: OQMD via LeMat-Bulk, functional PBE-GGA.

Results
electronic total energy = -5.0345 eV/atom

Cell: 7.3986 7.3986 10.5713 Å, 90.00 90.00 146.74°
Element x y z (fractional)
Ba 0.2582 0.7418 0.7500
Ba 0.7418 0.2582 0.2500
Au 0.4694 0.5306 0.2500
Au 0.5306 0.4694 0.7500
Se 0.6405 0.3595 0.9495
Se 0.3595 0.6405 0.0505
Se 0.6405 0.3595 0.5505
Se 0.3595 0.6405 0.4495
Gd 0.0000 0.0000 0.5000
Gd 0.0000 0.0000 0.0000
S 0.0740 0.9260 0.2500
S 0.9260 0.0740 0.7500

***

[3]
BaGdTe2AuS after structural relaxation. Source: OQMD via LeMat-Bulk, functional PBE-GGA.

Results
electronic total energy = -4.7180 eV/atom

Cell: 7.8104 7.8104 10.8114 Å, 90.00 90.00 147.30°
Element x y z (fractional)
Ba 0.2727 0.7273 0.7500
Ba 0.7273 0.2727 0.2500
Te 0.6442 0.3558 0.5551
Te 0.3558 0.6442 0.4449
Te 0.6442 0.3558 0.9449
Te 0.3558 0.6442 0.0551
Au 0.5231 0.4769 0.7500
Au 0.4769 0.5231 0.2500
S 0.0689 0.9311 0.2500
S 0.9311 0.0689 0.7500
Gd 0.0000 0.0000 0.5000
Gd 0.0000 0.0000 0.0000

***

[4]
BaGdTeAuSe2 after structural relaxation. Source: OQMD via LeMat-Bulk, functional PBE-GGA.

Results
electronic total energy = -4.7310 eV/atom

Cell: 7.8253 7.8253 11.0990 Å, 90.00 90.00 148.53°
Element x y z (fractional)
Gd 0.0000 0.0000 0.0000
Gd 0.0000 0.0000 0.5000
Se 0.6301 0.3699 0.4441
Se 0.3699 0.6301 0.5559
Se 0.3699 0.6301 0.9441
Se 0.6301 0.3699 0.0559
Au 0.5287 0.4713 0.2500
Au 0.4713 0.5287 0.7500
Te 0.0924 0.9076 0.7500
Te 0.9076 0.0924 0.2500
Ba 0.7751 0.2249 0.7500
Ba 0.2249 0.7751 0.2500

***

[5]
BaGdTe2AuSe after structural relaxation. Source: OQMD via LeMat-Bulk, functional PBE-GGA.

Results
electronic total energy = -4.5957 eV/atom

Cell: 7.8943 7.8943 10.9615 Å, 90.00 90.00 147.93°
Element x y z (fractional)
Te 0.6435 0.3565 0.9483
Te 0.6435 0.3565 0.5517
Te 0.3565 0.6435 0.4483
Te 0.3565 0.6435 0.0517
Gd 0.0000 0.0000 0.0000
Gd 0.0000 0.0000 0.5000
Se 0.9255 0.0745 0.7500
Se 0.0745 0.9255 0.2500
Au 0.5306 0.4694 0.7500
Au 0.4694 0.5306 0.2500
Ba 0.7390 0.2610 0.2500
Ba 0.2610 0.7390 0.7500

***

[6]
BaGdTe3Au after structural relaxation. Source: OQMD via LeMat-Bulk, functional PBE-GGA.

Results
offset from the most stable computed form = 51 meV/atom

Cell: 10.2143 4.5822 16.8387 Å, 90.00 90.00 90.00°
Element x y z (fractional)
Au 0.6528 0.2500 0.1297
Au 0.1528 0.2500 0.3703
Au 0.8472 0.7500 0.6297
Au 0.3472 0.7500 0.8703
Te 0.8615 0.2500 0.0295
Te 0.3156 0.7500 0.7040
Te 0.1844 0.2500 0.2040
Te 0.6844 0.2500 0.2960
Te 0.4896 0.7500 0.1061
Te 0.3615 0.2500 0.4705
Te 0.5104 0.2500 0.8939
Te 0.9896 0.7500 0.3939
Te 0.0104 0.2500 0.6061
Te 0.8156 0.7500 0.7960
Te 0.6385 0.7500 0.5295
Te 0.1385 0.7500 0.9705
Ba 0.5860 0.2500 0.6947
Ba 0.9140 0.7500 0.1947
Ba 0.4140 0.7500 0.3053
Ba 0.0860 0.2500 0.8053
Gd 0.8174 0.2500 0.4649
Gd 0.3174 0.2500 0.0351
Gd 0.6826 0.7500 0.9649
Gd 0.1826 0.7500 0.5351

***

[7]
BaGdTe3Au after structural relaxation. Source: OQMD via LeMat-Bulk, functional PBE-GGA.

Results
offset from the most stable computed form = 1 meV/atom

Cell: 4.4913 7.9021 11.5090 Å, 90.00 90.00 73.49°
Element x y z (fractional)
Ba 0.7580 0.4841 0.7500
Ba 0.2420 0.5159 0.2500
Te 0.3596 0.2808 0.9489
Te 0.6404 0.7192 0.0511
Te 0.9204 0.1591 0.2500
Te 0.6404 0.7192 0.4489
Te 0.0796 0.8409 0.7500
Te 0.3596 0.2808 0.5511
Gd 0.0000 0.0000 0.5000
Gd 0.0000 0.0000 0.0000
Au 0.4645 0.0710 0.7500
Au 0.5355 0.9290 0.2500

***

[8]
BaGdTe3Au after structural relaxation. Source: OQMD via LeMat-Bulk, functional PBE-GGA.

Results
offset from the most stable computed form = 0 meV/atom

Cell: 11.6238 4.4850 15.0472 Å, 90.00 90.00 90.00°
Element x y z (fractional)
Te 0.5631 0.7500 0.8968
Te 0.5415 0.2500 0.3844
Te 0.9585 0.7500 0.8844
Te 0.2715 0.2500 0.8295
Te 0.7715 0.2500 0.6705
Te 0.7285 0.7500 0.1705
Te 0.0631 0.7500 0.6032
Te 0.2285 0.7500 0.3295
Te 0.4369 0.2500 0.1032
Te 0.4585 0.7500 0.6156
Te 0.0415 0.2500 0.1156
Te 0.9369 0.2500 0.3968
Ba 0.7316 0.7500 0.4915
Ba 0.7684 0.2500 0.9915
Ba 0.2684 0.2500 0.5085
Ba 0.2316 0.7500 0.0085
Gd 0.5254 0.2500 0.7528
Gd 0.9746 0.7500 0.2528
Gd 0.0254 0.2500 0.7472
Gd 0.4746 0.7500 0.2472
Au 0.7479 0.7500 0.7839
Au 0.2521 0.2500 0.2161
Au 0.2479 0.7500 0.7161
Au 0.7521 0.2500 0.2839

***

[9]
BaGdTe3Au after structural relaxation. Source: OQMD via LeMat-Bulk, functional PBE-GGA.

Results
offset from the most stable computed form = 34 meV/atom

Cell: 12.6077 4.5901 13.2831 Å, 90.00 90.00 90.00°
Element x y z (fractional)
Te 0.3117 0.5000 0.7044
Te 0.1883 0.5000 0.2044
Te 0.0558 0.0000 0.6053
Te 0.5558 0.5000 0.8947
Te 0.1495 0.0000 0.9772
Te 0.8505 0.5000 0.0228
Te 0.3505 0.0000 0.4772
Te 0.6495 0.5000 0.5228
Te 0.9442 0.5000 0.3947
Te 0.6883 0.0000 0.2956
Te 0.8117 0.0000 0.7956
Te 0.4442 0.0000 0.1053
Au 0.7703 0.5000 0.6934
Au 0.7297 0.5000 0.1934
Au 0.2297 0.0000 0.3066
Au 0.2703 0.0000 0.8066
Gd 0.1742 0.5000 0.4870
Gd 0.3258 0.5000 0.9870
Gd 0.6742 0.0000 0.0130
Gd 0.8258 0.0000 0.5130
Ba 0.0317 0.5000 0.8032
Ba 0.9683 0.0000 0.1968
Ba 0.4683 0.5000 0.3032
Ba 0.5317 0.0000 0.6968

***

[10]
BaGdTe3Au after structural relaxation. Source: OQMD via LeMat-Bulk, functional PBE-GGA.

Results
offset from the most stable computed form = 17 meV/atom

Cell: 8.6436 4.4827 10.8179 Å, 90.00 106.31 90.00°
Element x y z (fractional)
Au 0.9053 0.7500 0.3925
Au 0.0947 0.2500 0.6075
Te 0.4333 0.7500 0.1396
Te 0.5667 0.2500 0.8604
Te 0.2658 0.7500 0.5463
Te 0.7342 0.2500 0.4537
Te 0.0659 0.2500 0.8562
Te 0.9341 0.7500 0.1438
Ba 0.2391 0.2500 0.2930
Ba 0.7609 0.7500 0.7070
Gd 0.3082 0.7500 0.8379
Gd 0.6918 0.2500 0.1621

***

[11]
BaGdTe3Au after structural relaxation. Source: OQMD via LeMat-Bulk, functional PBE-GGA.

Results
offset from the most stable computed form = 72 meV/atom

Cell: 10.2623 10.2623 9.1276 Å, 100.17 100.17 25.26°
Element x y z (fractional)
Te 0.5000 0.5000 0.5000
Te 0.6769 0.6769 0.8686
Te 0.3231 0.3231 0.1314
Te 0.0000 0.0000 0.0000
Te 0.3147 0.3147 0.6656
Te 0.6853 0.6853 0.3344
Au 0.5487 0.5487 0.2092
Au 0.4513 0.4513 0.7908
Ba 0.1274 0.1274 0.5819
Ba 0.8726 0.8726 0.4181
Gd 0.8381 0.8381 0.9074
Gd 0.1619 0.1619 0.0926

***

[12]
BaGdTe3Au after structural relaxation. Source: OQMD via LeMat-Bulk, functional PBE-GGA.

Results
offset from the most stable computed form = 12 meV/atom

Cell: 15.1206 4.4982 11.7647 Å, 90.00 90.00 90.00°
Element x y z (fractional)
Gd 0.9833 0.2500 0.1711
Gd 0.5167 0.7500 0.6711
Gd 0.4833 0.2500 0.3289
Gd 0.0167 0.7500 0.8289
Te 0.1034 0.7500 0.0691
Te 0.6078 0.2500 0.1251
Te 0.8922 0.7500 0.6251
Te 0.1492 0.2500 0.7561
Te 0.6492 0.2500 0.7439
Te 0.1078 0.2500 0.3749
Te 0.6034 0.7500 0.4309
Te 0.8508 0.7500 0.2439
Te 0.3922 0.7500 0.8749
Te 0.3508 0.7500 0.2561
Te 0.3966 0.2500 0.5691
Te 0.8966 0.2500 0.9309
Ba 0.2229 0.7500 0.5459
Ba 0.7229 0.7500 0.9541
Ba 0.7771 0.2500 0.4541
Ba 0.2771 0.2500 0.0459
Au 0.5084 0.2500 0.9015
Au 0.9916 0.7500 0.4015
Au 0.0084 0.2500 0.5985
Au 0.4916 0.7500 0.0985

***

[13]
BaGe2Au after structural relaxation. Source: OQMD via LeMat-Bulk, functional PBE-GGA.

Results
electronic total energy = -3.7046 eV/atom

Cell: 5.2374 5.2374 5.2374 Å, 60.00 60.00 60.00°
Element x y z (fractional)
Ge 0.7500 0.7500 0.7500
Ge 0.0000 0.0000 0.0000
Ba 0.5000 0.5000 0.5000
Au 0.2500 0.2500 0.2500

***

[14]
BaGeAu after structural relaxation. Source: OQMD via LeMat-Bulk, functional PBE-GGA.

Results
electronic total energy = -3.4563 eV/atom

Cell: 5.0731 5.0731 5.0731 Å, 60.00 60.00 60.00°
Element x y z (fractional)
Au 0.2500 0.2500 0.2500
Ge 0.0000 0.0000 0.0000
Ba 0.7500 0.7500 0.7500

***

[15]
Ba2Ge5Au3 after structural relaxation. Source: OQMD via LeMat-Bulk, functional PBE-GGA.

Results
electronic total energy = -4.1524 eV/atom

Cell: 9.1353 9.1353 9.1353 Å, 108.68 86.80 137.36°
Element x y z (fractional)
Au 0.7500 0.7500 0.0000
Au 0.6285 0.1227 0.7512
Au 0.1285 0.3773 0.5057
Au 0.3715 0.8773 0.2488
Au 0.8715 0.6227 0.4943
Au 0.2500 0.2500 0.0000
Ba 0.1233 0.7465 0.8698
Ba 0.3767 0.2465 0.6232
Ba 0.6233 0.7535 0.3768
Ba 0.8767 0.2535 0.1302
Ge 0.8765 0.8719 0.7484
Ge 0.4956 0.2500 0.2456
Ge 0.5044 0.7500 0.7544
Ge 0.1235 0.1281 0.2516
Ge 0.0044 0.2500 0.7544
Ge 0.3765 0.6281 0.0046
Ge 0.9956 0.7500 0.2456
Ge 0.2500 0.7500 0.5000
Ge 0.7500 0.2500 0.5000
Ge 0.6235 0.3719 0.9954

***

[16]
BaGe2Au5 after structural relaxation. Source: OQMD via LeMat-Bulk, functional PBE-GGA.

Results
electronic total energy = -3.8019 eV/atom

Cell: 9.2039 7.2344 10.6190 Å, 90.00 90.00 90.00°
Element x y z (fractional)
Ge 0.5445 0.2500 0.1237
Ge 0.3437 0.2500 0.5406
Ge 0.4555 0.7500 0.8763
Ge 0.1563 0.7500 0.0406
Ge 0.0445 0.2500 0.3763
Ge 0.9555 0.7500 0.6237
Ge 0.8437 0.2500 0.9594
Ge 0.6563 0.7500 0.4594
Au 0.6903 0.7500 0.7002
Au 0.3097 0.2500 0.2998
Au 0.5751 0.4569 0.3510
Au 0.5994 0.4462 0.8889
Au 0.0994 0.0538 0.6111
Au 0.9006 0.9462 0.3889
Au 0.9006 0.5538 0.3889
Au 0.0994 0.4462 0.6111
Au 0.5994 0.0538 0.8889
Au 0.4006 0.5538 0.1111
Au 0.9249 0.9569 0.8510
Au 0.4006 0.9462 0.1111
Au 0.0751 0.4569 0.1490
Au 0.4249 0.9569 0.6490
Au 0.4249 0.5431 0.6490
Au 0.1903 0.7500 0.7998
Au 0.9249 0.5431 0.8510
Au 0.8097 0.2500 0.2002
Au 0.5751 0.0431 0.3510
Au 0.0751 0.0431 0.1490
Ba 0.2547 0.7500 0.3818
Ba 0.2453 0.2500 0.8818
Ba 0.7547 0.7500 0.1182
Ba 0.7453 0.2500 0.6182

***

[17]
BaGeAu3 after structural relaxation. Source: OQMD via LeMat-Bulk, functional PBE-GGA.

Results
electronic total energy = -3.8067 eV/atom

Cell: 6.5914 5.5882 9.3171 Å, 90.00 134.96 90.00°
Element x y z (fractional)
Ge 0.6205 0.7139 0.9587
Ge 0.6205 0.2861 0.4587
Au 0.6225 0.5004 0.2094
Au 0.1207 0.5001 0.7058
Au 0.6209 0.1732 0.9583
Au 0.6209 0.8268 0.4583
Au 0.1207 0.4999 0.2058
Au 0.6225 0.4996 0.7094
Ba 0.1213 0.0000 0.4579
Ba 0.1213 0.0000 0.9579